# 1
LaFe2Pt | PBE | relaxed

The structure in POSCAR format:
```
LaFe2Pt
1.0
0.0000 3.3292 3.3292
3.3292 0.0000 3.3292
3.3292 3.3292 0.0000
La Fe Pt
1 2 1
Direct
0.0000 0.0000 0.0000
0.5000 0.5000 0.5000
0.7500 0.7500 0.7500
0.2500 0.2500 0.2500
```

Computed properties:
Calculated formation energy: 0.0717 eV per atom

---

# 2
Te2PdW | PBE | relaxed

The structure in POSCAR format:
```
Te2PdW
1.0
1.7313 0.9996 8.8955
-1.7313 0.9996 8.8955
0.0000 -1.9992 8.8955
Te Pd W
2 1 1
Direct
0.0964 0.0964 0.0964
0.9036 0.9036 0.9036
0.0000 0.0000 0.0000
0.5000 0.5000 0.5000
```

Computed properties:
Formation energy from raw total energies: 236 meV per atom

---

# 3
La4Nd2Zn | PBE | relaxed

The structure in POSCAR format:
```
La4Nd2Zn
1.0
10.7778 -1.9031 0.0000
10.7778 1.9031 0.0000
-1.4895 0.0000 5.9700
La Nd Zn
4 2 1
Direct
0.0904 0.0904 0.4933
0.3855 0.3855 0.9827
0.6145 0.6145 0.0173
0.9096 0.9096 0.5067
0.2597 0.2597 0.2632
0.7403 0.7403 0.7368
0.0000 0.0000 0.0000
```

Computed properties:
Calculated formation energy: 0.0330 eV per atom

---

# 4
SrIn2Au | PBE | relaxed

The structure in POSCAR format:
```
SrIn2Au
1.0
4.9780 0.0000 0.0000
0.0000 4.8282 0.0000
-1.5076 0.0000 4.8491
Sr In Au
1 2 1
Direct
0.0000 0.0000 0.0000
0.3161 0.5000 0.6898
0.6839 0.5000 0.3102
0.5000 0.0000 0.5000
```

Computed properties:
Calculated formation energy: -0.4169 eV per atom

---

# 5
ZnRuW2 | PBE | relaxed

The structure in POSCAR format:
```
ZnRuW2
1.0
1.5701 -2.2319 0.0000
1.5701 2.2319 0.0000
0.0000 0.0000 8.7699
Zn Ru W
1 1 2
Direct
0.0000 0.0000 0.0000
0.5000 0.5000 0.2445
0.0000 0.0000 0.4875
0.5000 0.5000 0.7438
```

Computed properties:
Calculated formation energy: 0.1773 eV per atom

---

# 6
ErGe2Se6 | PBE | relaxed

The structure in POSCAR format:
```
ErGe2Se6
1.0
6.2390 -6.0058 0.0000
6.2390 6.0058 0.0000
-1.0619 0.0000 6.5735
Er Ge Se
2 4 12
Direct
0.1114 0.8886 0.7500
0.8886 0.1114 0.2500
0.2315 0.3835 0.6939
0.3835 0.2315 0.1939
0.6165 0.7685 0.8061
0.7685 0.6165 0.3061
0.0240 0.2008 0.6576
0.1436 0.5992 0.9089
0.2008 0.0240 0.1576
0.2785 0.4665 0.3717
0.4008 0.8564 0.5911
0.4665 0.2785 0.8717
0.5335 0.7215 0.1283
0.5992 0.1436 0.4089
0.7215 0.5335 0.6283
0.7992 0.9760 0.8424
0.8564 0.4008 0.0911
0.9760 0.7992 0.3424
```

Computed properties:
Formation energy from raw total energies: -552 meV per atom

---

# 7
PmSc4Se5 | PBE | relaxed

The structure in POSCAR format:
```
PmSc4Se5
1.0
-1.9569 2.8021 9.9143
1.9569 -2.8021 9.9143
1.9569 2.8021 -9.9143
Pm Sc Se
1 4 5
Direct
0.0000 0.0000 0.0000
0.2053 0.2053 0.0000
0.4015 0.4015 0.0000
0.5985 0.5985 0.0000
0.7947 0.7947 0.0000
0.1103 0.6103 0.5000
0.3026 0.8026 0.5000
0.5000 0.0000 0.5000
0.6974 0.1974 0.5000
0.8897 0.3897 0.5000
```

Computed properties:
Formation energy from raw total energies: -1613 meV per atom

---

# 8
NdTlNiPd | PBE | relaxed

The structure in POSCAR format:
```
NdTlNiPd
1.0
0.0000 3.4322 3.4322
3.4322 0.0000 3.4322
3.4322 3.4322 0.0000
Nd Tl Ni Pd
1 1 1 1
Direct
0.0000 0.0000 0.0000
0.5000 0.5000 0.5000
0.2500 0.2500 0.2500
0.7500 0.7500 0.7500
```

Computed properties:
Calculated formation energy: -0.3278 eV per atom